Below is CoTc2Mo after structural relaxation, with properties calculated at the PBEsol level.

Lattice parameters (Å, degrees): 4.249 4.249 4.249 60.00 60.00 60.00
Fractional positions:
Tc  0.750  0.750  0.750
Tc  0.250  0.250  0.250
Mo  0.500  0.500  0.500
Co  0.000  0.000  0.000

Results
Space-group type = Fm-3m, No. 225

=====

Below is CoTc2Mo after structural relaxation, with properties calculated at the PBEsol level.

Lattice parameters (Å, degrees): 4.250 4.250 4.250 60.00 60.00 60.00
Fractional positions:
Mo  0.250  0.250  0.250
Tc  0.750  0.750  0.750
Tc  0.000  0.000  0.000
Co  0.500  0.500  0.500

Results
Space-group type = F-43m, No. 216

=====

Below is CoTcMo4 after structural relaxation, with properties calculated at the PBEsol level.

Lattice parameters (Å, degrees): 5.043 5.043 5.043 60.00 60.00 60.00
Fractional positions:
Tc  0.250  0.250  0.250
Mo  0.625  0.124  0.625
Mo  0.124  0.625  0.625
Mo  0.625  0.625  0.124
Mo  0.625  0.625  0.625
Co  0.000  0.000  0.000

Results
Space-group type = F-43m, No. 216

=====

Number 1: magnetization 0.525 μB per atom, formation enthalpy at 0 K 0.812 eV per formula unit. Number 2: magnetization 0.503 μB per atom, formation enthalpy at 0 K 0.991 eV per formula unit. Number 3: magnetization 0.184 μB per atom, formation enthalpy at 0 K 2.962 eV per formula unit.